## Cu2NiRh (PBE-GGA)

Data for an optimized crystal structure of Cu2NiRh.

```
Cu2NiRh
1.0
2.5839 0.0000 0.0000
0.0000 8.0851 0.0000
-1.3089 0.0000 4.7388
Cu Ni Rh
4 2 2
Direct
0.1275 0.0176 0.2598
0.1275 0.4824 0.2598
0.8725 0.5176 0.7402
0.8725 0.9824 0.7402
0.2611 0.7500 0.5151
0.7389 0.2500 0.4849
0.4749 0.2500 0.9469
0.5251 0.7500 0.0531
```

Output
energy of formation	0.068	eV per atom

***

## Cu5Ni4Rh2 (PBE-GGA)

Data for an optimized crystal structure of Cu5Ni4Rh2.

```
Cu5Ni4Rh2
1.0
6.2980 -1.2788 0.0000
6.2980 1.2788 0.0000
-0.7789 0.0000 8.3045
Cu Ni Rh
5 4 2
Direct
0.0000 0.0000 0.0000
0.3246 0.3246 0.9384
0.4057 0.4057 0.4574
0.5943 0.5943 0.5426
0.6754 0.6754 0.0616
0.1385 0.1385 0.7970
0.4659 0.4659 0.7450
0.5341 0.5341 0.2550
0.8615 0.8615 0.2030
0.2102 0.2102 0.3451
0.7898 0.7898 0.6549
```

Output
energy of formation	0.093	eV per atom

***

## Cu2NiRh (PBE-GGA)

Data for an optimized crystal structure of Cu2NiRh.

```
Cu2NiRh
1.0
5.8471 0.0000 0.0000
0.0000 5.8471 0.0000
0.0000 0.0000 5.8471
Cu Ni Rh
8 4 4
Direct
0.0000 0.0000 0.0000
0.0000 0.5000 0.5000
0.2500 0.2500 0.2500
0.2500 0.7500 0.7500
0.5000 0.0000 0.5000
0.5000 0.5000 0.0000
0.7500 0.2500 0.7500
0.7500 0.7500 0.2500
0.0000 0.0000 0.5000
0.0000 0.5000 0.0000
0.5000 0.0000 0.0000
0.5000 0.5000 0.5000
0.2500 0.2500 0.7500
0.2500 0.7500 0.2500
0.7500 0.2500 0.2500
0.7500 0.7500 0.7500
```

Output
energy of formation	0.110	eV per atom

***

## CuNi7Rh3 (PBE-GGA)

Data for an optimized crystal structure of CuNi7Rh3.

```
CuNi7Rh3
1.0
2.5716 -3.6525 0.0000
2.5716 3.6525 0.0000
-1.1903 0.0000 7.2994
Cu Ni Rh
1 7 3
Direct
0.0000 0.0000 0.0000
0.0603 0.5453 0.1588
0.0816 0.0816 0.3374
0.3979 0.9635 0.8099
0.5453 0.0603 0.1588
0.6075 0.6075 0.3181
0.7583 0.7583 0.6689
0.9635 0.3979 0.8099
0.1693 0.6165 0.5101
0.5115 0.5115 0.9716
0.6165 0.1693 0.5101
```

Output
energy of formation	0.146	eV per atom

***

| no. | final energy (eV per atom) |
| --- | --- |
| 1 | -5.263 |
| 2 | -5.207 |
| 3 | -5.221 |
| 4 | -5.910 |